## Ba2Hg (PBEsol)

Data for a relaxed Ba2Hg crystal.

a b c (Å): 8.0880 5.6653 10.5333
angles (deg): 90.00 90.00 90.00
Fractional coordinates of all 12 atoms:
Ba  0.0170  0.2500  0.1816
Ba  0.1557  0.2500  0.5756
Ba  0.3443  0.7500  0.0756
Ba  0.4830  0.7500  0.6816
Ba  0.5170  0.2500  0.3184
Ba  0.6557  0.2500  0.9244
Ba  0.8443  0.7500  0.4244
Ba  0.9830  0.7500  0.8184
Hg  0.2351  0.2500  0.8949
Hg  0.2649  0.7500  0.3949
Hg  0.7351  0.2500  0.6051
Hg  0.7649  0.7500  0.1051

Computed properties:
space-group type	Pnma, No. 62
energy relative to the elements	-8.6	kcal/mol of atoms

## Ba2Hg (PBEsol)

Data for a relaxed Ba2Hg crystal.

a b c (Å): 5.7730 5.7730 3.9792
angles (deg): 90.00 90.00 90.00
Fractional coordinates of all 3 atoms:
Ba  0.0000  0.5000  0.0000
Ba  0.5000  0.0000  0.0000
Hg  0.0000  0.0000  0.5000

Computed properties:
space-group type	P4/mmm, No. 123
energy relative to the elements	-7.1	kcal/mol of atoms

## BaHg2 (PBEsol)

Data for a relaxed BaHg2 crystal.

a b c (Å): 5.6170 5.6170 6.8114
angles (deg): 90.00 90.00 120.00
Fractional coordinates of all 6 atoms:
Ba  0.3333  0.6667  0.2500
Ba  0.6667  0.3333  0.7500
Hg  0.0000  0.0000  0.0000
Hg  0.0000  0.0000  0.5000
Hg  0.3333  0.6667  0.7500
Hg  0.6667  0.3333  0.2500

Computed properties:
space-group type	P6_3/mmc, No. 194
energy relative to the elements	-10.5	kcal/mol of atoms

no.,final energy (eV/atom)
1,-1.994
2,-1.929
3,-1.548